Computed, not measured: crystalline ZnRhW2 at its relaxed geometry at the GGA-PBE level of DFT.

Calculated values
The formation energy comes out at 11.4 kJ/mol of atoms. As for the space-group type: No. 12.

a = 4.9501 Å, b = 4.9501 Å, c = 2.7198 Å
α = 89.80°, β = 89.80°, γ = 115.26°
Closest atoms and distances in Å follow each position.
Positions (direct):
1 W 0.0000 0.0000 0.0000  4 W 2.65-2.72, 4 Zn 2.82-2.83, 4 Rh 2.82-2.83
2 Rh 0.0000 0.5000 0.5000  2 Zn 2.65, 2 Rh 2.72, 8 W 2.82-2.83
3 Zn 0.5000 0.0000 0.5000  2 Rh 2.65, 2 Zn 2.72, 8 W 2.82-2.83
4 W 0.5000 0.5000 0.0000  4 W 2.65-2.72, 4 Rh 2.82-2.83, 4 Zn 2.82-2.83